## Y2CuSbC (GGA-PBE)

Data for a geometry-optimized Y2CuSbC structure.

Values from the calculation:
calculated density: 6.23 g/cm³
DOS at the Fermi energy: 1.6 states/eV/f.u.
DFT total energy: -32.9 eV per cell

Unit cell a=5.018 b=5.018 c=3.972 alpha=90.00 beta=90.00 gamma=90.00
Sites, in units of the cell vectors:
Y (0.500, 0.000, 0.000)
Y (0.000, 0.500, 0.000)
Cu (0.000, 0.000, 0.500)
C (0.000, 0.000, 0.000)
Sb (0.500, 0.500, 0.500)